Entry from the Alexandria database: a relaxed FeAg2AsO4 crystal (PBE with a Hubbard U).

Cell and atoms, written as POSCAR:
```
FeAg2AsO4
1.0
5.061 0.035 -0.003
0.107 5.689 -0.004
-2.582 -2.860 4.200
Ag O Fe As
2 4 1 1
direct
0.514 0.015 0.029
0.221 0.220 0.441
0.384 0.769 0.236
0.016 0.064 0.713
0.853 0.467 0.238
0.697 0.650 0.714
0.965 0.465 0.931
0.737 0.737 0.474
```

- energy (eV for the cell shown) = -41.9
- calculated volume (Å³/cell) = 121
- space-group type = P1 (1)